1.
BeTl2Cd: relaxed, PBE.

Lattice parameters (Å, degrees): 3.399 3.399 8.219 90.00 90.00 100.71
Fractional positions:
Be 0.500 0.500 0.250
Tl 0.000 0.000 0.043
Tl 0.000 0.000 0.457
Cd 0.500 0.500 0.750

## Properties
Energy of formation from the pure elements   176 kJ/mol of formula units
Polymorph energy (0 for the lowest one)   113.8 meV per atom

=====

2.
BeTl2Cd: relaxed, PBE.

Lattice parameters (Å, degrees): 3.392 3.269 8.441 90.00 90.00 90.00
Fractional positions:
Be 0.500 0.500 0.250
Tl 0.000 0.000 0.045
Tl 0.000 0.000 0.455
Cd 0.500 0.500 0.750

## Properties
Energy of formation from the pure elements   178 kJ/mol of formula units
Polymorph energy (0 for the lowest one)   118.7 meV per atom